This record from Alexandria describes crystalline Tl2Cd5Hg6 at its relaxed geometry. The functional is PBE-GGA.

POSCAR file:
```
Tl2Cd5Hg6
1.0
-1.8301 1.1402 -2.5496
5.7580 -3.8722 -5.8649
-12.1605 -18.6626 0.3827
Tl Cd Hg
4 10 12
Direct
0.0000 0.4823 0.3203 Tl
0.0000 0.5177 0.6797 Tl
0.0000 0.9823 0.1797 Tl
0.0000 0.0177 0.8203 Tl
0.5000 0.4070 0.4432 Cd
0.5000 0.5930 0.5568 Cd
0.5000 0.9070 0.0568 Cd
0.5000 0.0930 0.9432 Cd
0.5000 0.6625 0.2143 Cd
0.5000 0.3375 0.7857 Cd
0.5000 0.1625 0.2857 Cd
0.5000 0.8375 0.7143 Cd
0.5000 0.5000 0.0000 Cd
0.5000 0.0000 0.5000 Cd
0.0000 0.1287 0.3989 Hg
0.0000 0.8713 0.6011 Hg
0.0000 0.6287 0.1011 Hg
0.0000 0.3713 0.8989 Hg
0.5000 0.3385 0.1715 Hg
0.5000 0.6615 0.8285 Hg
0.5000 0.8385 0.3285 Hg
0.5000 0.1615 0.6715 Hg
0.0000 0.7229 0.4440 Hg
0.0000 0.2771 0.5560 Hg
0.0000 0.2229 0.0560 Hg
0.0000 0.7771 0.9440 Hg
```

* total magnetization: 0.00 μB per cell
* raw total energy: -0.84 eV/atom
* SG: Pbam (55)